## Os2C3N6 (PBE)

Data for a geometry-optimized Os2C3N6 structure.

It has space group C2/m (No. 12), with a = 17.041 Å, b = 3.342 Å, c = 5.087 Å, α = 90.00°, β = 91.70° and γ = 90.00°. The distinct sites, in fractional coordinates, are Os at (0.180, 0.000, 0.419), C at (0.000, 0.000, 0.500), C at (0.182, 0.500, 0.930), N at (0.071, 0.000, 0.484), N at (0.169, 0.500, 0.167) and N at (0.200, 0.500, 0.692).

Its theoretical density is 5.7 g cm⁻³. The formation energy without anion corrections comes out at 0.56 eV/atom. As for the excess energy over the best structure of this formula in the dataset: 95.6 meV per atom. Its density of states at the Fermi level is 0.310 states/eV/atom.

## Sr2ZrCu (PBE)

Data for a geometry-optimized Sr2ZrCu structure.

It has space group Cmmm (No. 65), with a = 7.381 Å, b = 9.076 Å, c = 3.617 Å, α = 90.00°, β = 90.00° and γ = 90.00°. The distinct sites, in fractional coordinates, are Sr at (0.250, 0.250, 0.000), Zr at (0.000, 0.000, 0.500) and Cu at (0.000, 0.500, 0.500).

Its theoretical density is 4.5 g cm⁻³. For the formation energy from the elements, the calculation gives 0.556 eV/atom. As for the excess energy over the best structure of this formula in the dataset: 359.0 meV per atom. Its density of states at the Fermi level is 1.012 states/eV/atom.